Entry 1:
Material: TlS3N
Method: DFT, PBE
State: relaxed

abc: 4.339 4.339 4.339
angles: 90.00 90.00 90.00
Positions (direct):
Tl (0.000, 0.000, 0.000)
S (0.000, 0.500, 0.500)
S (0.500, 0.000, 0.500)
S (0.500, 0.500, 0.000)
N (0.500, 0.500, 0.500)

## Properties
The uncorrected formation energy comes out at 1.026 eV/atom. The energy above the most stable polymorph in this dataset comes out at 748.7 meV per atom.



Entry 2:
Material: Cd3In2Pb8
Method: DFT, PBE
State: relaxed

abc: 5.724 8.832 9.089
angles: 61.80 81.90 76.12
Positions (direct):
Cd (0.000, 0.000, 0.000)
Cd (0.485, 0.722, 0.923)
Cd (0.515, 0.278, 0.077)
In (0.000, 0.285, 0.573)
In (0.000, 0.715, 0.427)
Pb (0.009, 0.415, 0.867)
Pb (0.016, 0.139, 0.286)
Pb (0.497, 0.140, 0.785)
Pb (0.498, 0.412, 0.353)
Pb (0.502, 0.588, 0.647)
Pb (0.503, 0.860, 0.215)
Pb (0.984, 0.861, 0.714)
Pb (0.991, 0.585, 0.133)

## Properties
The calculation puts the energy of formation at 5.38 kJ per mole of atoms.



Entry 3:
Material: PrAu6
Method: DFT, PBE
State: relaxed

abc: 8.996 5.785 11.205
angles: 90.00 90.00 90.00
Positions (direct):
Pr (0.238, 0.250, 0.066)
Pr (0.262, 0.750, 0.566)
Pr (0.738, 0.250, 0.434)
Pr (0.762, 0.750, 0.934)
Au (0.057, 0.010, 0.306)
Au (0.057, 0.490, 0.306)
Au (0.071, 0.750, 0.082)
Au (0.108, 0.250, 0.522)
Au (0.154, 0.750, 0.845)
Au (0.186, 0.250, 0.776)
Au (0.314, 0.750, 0.276)
Au (0.346, 0.250, 0.345)
Au (0.392, 0.750, 0.022)
Au (0.429, 0.250, 0.582)
Au (0.443, 0.510, 0.806)
Au (0.443, 0.990, 0.806)
Au (0.557, 0.010, 0.194)
Au (0.557, 0.490, 0.194)
Au (0.571, 0.750, 0.418)
Au (0.608, 0.250, 0.978)
Au (0.654, 0.750, 0.655)
Au (0.686, 0.250, 0.724)
Au (0.814, 0.750, 0.224)
Au (0.846, 0.250, 0.155)
Au (0.892, 0.750, 0.478)
Au (0.929, 0.250, 0.918)
Au (0.943, 0.510, 0.694)
Au (0.943, 0.990, 0.694)

## Properties
The calculation puts the energy of formation at -37.23 kJ per mole of atoms. The energy above the most stable polymorph in this dataset comes out at 26.5 meV per atom.



Entry 4:
Material: AlIr2Cl
Method: DFT, PBE
State: relaxed

abc: 2.876 3.869 5.592
angles: 90.00 90.00 90.00
Positions (direct):
Al (0.000, 0.000, 0.000)
Ir (0.000, 0.000, 0.523)
Ir (0.500, 0.500, 0.817)
Cl (0.500, 0.500, 0.372)

## Properties
The uncorrected formation energy comes out at 0.303 eV/atom. The energy above the most stable polymorph in this dataset comes out at 354.9 meV per atom.